The following is a DFT calculation (GGA-PBE) of a relaxed structure of ErBeOs.

```
data_ErBeOs
_chemical_formula_sum 'Er4 Be4 Os4'
_cell_length_a 6.2726
_cell_length_b 6.2726
_cell_length_c 6.2726
_cell_angle_alpha 90.00
_cell_angle_beta 90.00
_cell_angle_gamma 90.00
_space_group_name_H-M_alt 'F -4 3 m'
_space_group_IT_number 216
_space_group_name_Hall 'F -4 2 3'
loop_
_atom_site_label
_atom_site_type_symbol
_atom_site_fract_x
_atom_site_fract_y
_atom_site_fract_z
Er1 Er 0.0000 0.0000 0.0000
Be1 Be 0.2500 0.2500 0.7500
Os1 Os 0.2500 0.2500 0.2500
```

Summary:
Mass density (g/cm³): 9.9
Total energy (eV per atom): -5.33
Spin magnetization (μB/atom): 0.001

The following is a DFT calculation (GGA-PBE) of a relaxed structure of ErBePd.

```
data_ErBePd
_chemical_formula_sum 'Er4 Be4 Pd4'
_cell_length_a 6.0434
_cell_length_b 6.0434
_cell_length_c 6.0434
_cell_angle_alpha 90.00
_cell_angle_beta 90.00
_cell_angle_gamma 90.00
_space_group_name_H-M_alt 'F -4 3 m'
_space_group_IT_number 216
_space_group_name_Hall 'F -4 2 3'
loop_
_atom_site_label
_atom_site_type_symbol
_atom_site_fract_x
_atom_site_fract_y
_atom_site_fract_z
Er1 Er 0.0000 0.0000 0.0000
Be1 Be 0.2500 0.2500 0.2500
Pd1 Pd 0.0000 0.0000 0.5000
```

Summary:
Mass density (g/cm³): 8.5
Total energy (eV per atom): -4.69
Spin magnetization (μB/atom): 0.000

The following is a DFT calculation (GGA-PBE) of a relaxed structure of ErBePd.

```
data_ErBePd
_chemical_formula_sum 'Er4 Be4 Pd4'
_cell_length_a 6.2393
_cell_length_b 6.2393
_cell_length_c 6.2393
_cell_angle_alpha 90.00
_cell_angle_beta 90.00
_cell_angle_gamma 90.00
_space_group_name_H-M_alt 'F -4 3 m'
_space_group_IT_number 216
_space_group_name_Hall 'F -4 2 3'
loop_
_atom_site_label
_atom_site_type_symbol
_atom_site_fract_x
_atom_site_fract_y
_atom_site_fract_z
Er1 Er 0.0000 0.0000 0.0000
Be1 Be 0.0000 0.0000 0.5000
Pd1 Pd 0.2500 0.2500 0.7500
```

Summary:
Mass density (g/cm³): 7.7
Total energy (eV per atom): -4.71
Spin magnetization (μB/atom): 0.000

The following is a DFT calculation (GGA-PBE) of a relaxed structure of PrErBe.

```
data_PrErBe
_chemical_formula_sum 'Pr4 Er4 Be4'
_cell_length_a 6.8068
_cell_length_b 6.8068
_cell_length_c 6.8068
_cell_angle_alpha 90.00
_cell_angle_beta 90.00
_cell_angle_gamma 90.00
_space_group_name_H-M_alt 'F -4 3 m'
_space_group_IT_number 216
_space_group_name_Hall 'F -4 2 3'
loop_
_atom_site_label
_atom_site_type_symbol
_atom_site_fract_x
_atom_site_fract_y
_atom_site_fract_z
Pr1 Pr 0.0000 0.0000 0.0000
Er1 Er 0.2500 0.2500 0.7500
Be1 Be 0.0000 0.0000 0.5000
```

Summary:
Mass density (g/cm³): 6.7
Total energy (eV per atom): -3.53
Spin magnetization (μB/atom): 0.001